Computed, not measured: a relaxed structure of Zr3VCl at the PBE level of DFT.

Unit cell a=4.7825 b=4.7825 c=4.7825 alpha=90.00 beta=90.00 gamma=90.00
Sites, in units of the cell vectors:
Zr: 0.0000 0.0000 0.5000
Zr: 0.0000 0.5000 0.0000
Zr: 0.5000 0.0000 0.0000
V: 0.5000 0.5000 0.5000
Cl: 0.0000 0.0000 0.0000

Calculated values
D(E_F) (states/eV/f.u.): 5.7
Calculated total energy (eV/atom): -7.10